This record from Alexandria via LeMat-Bulk describes a relaxed structure of ZnNi5Rh2. The functional is PBE.

## Properties
- V: 97.5 Å³/cell
- Calculated density: 9.62 Mg/m³
- Formation energy: -0.038 eV/atom
- N(E_F): 1.236 states/eV/atom
- Crystal system: orthorhombic
- Raw total energy: -5.65 eV per atom

abc: 6.2970 5.7711 4.4686
angles: 74.69 62.12 43.19
With the nearest neighbours (Å) after each atom.
Element x y z (fractional)
Zn 0.0000 0.0000 0.0000  10 Ni 2.57-2.61, 2 Rh 2.63
Ni 0.1232 0.1232 0.3768  6 Ni 2.54-2.61, 4 Rh 2.56-2.62, 2 Zn 2.57
Ni 0.3768 0.3768 0.1232  6 Ni 2.54-2.61, 4 Rh 2.56-2.62, 2 Zn 2.57
Ni 0.5000 0.5000 0.5000  2 Rh 2.52, 8 Ni 2.57, 2 Zn 2.61
Ni 0.6232 0.6232 0.8768  6 Ni 2.54-2.61, 4 Rh 2.56-2.62, 2 Zn 2.57
Ni 0.8768 0.8768 0.6232  6 Ni 2.54-2.61, 4 Rh 2.56-2.62, 2 Zn 2.57
Rh 0.2553 0.2553 0.7447  9 Ni 2.52-2.62, 2 Rh 2.61, 1 Zn 2.63
Rh 0.7447 0.7447 0.2553  9 Ni 2.52-2.62, 2 Rh 2.61, 1 Zn 2.63